First-principles (GGA-PBE) data for crystalline Pm2Al2S7 at its relaxed geometry, as listed in Alexandria via LeMat-Bulk.

Cell and atoms, written as POSCAR:
```
Pm2Al2S7
1.0
0.0409 0.4079 -6.5901
-6.9006 -1.6251 1.3540
1.5885 6.7718 1.9265
Pm Al S
2 2 7
Cartesian
-1.0285 4.3670 -1.5464 Pm
-4.2427 1.1877 -1.7632 Pm
-4.0920 4.0257 1.6308 Al
-1.1792 1.5289 -4.9404 Al
-2.5357 5.2418 0.6541 S
-0.0190 2.9999 -3.7805 S
-2.7355 0.3128 -3.9637 S
-5.2522 2.5548 0.4709 S
-1.6994 1.7500 -0.4675 S
0.0000 0.0000 0.0000 S
-3.5717 3.8047 -2.8421 S
```

Calculated values
As for the space-group type: C2/m (12). For the density of states at the Fermi level, the calculation gives 0.0 states/eV per cell. The value obtained for the total energy is -5.4269 eV/atom. The uncorrected formation energy comes out at -1256 meV per atom. The value obtained for the volume is 26.98 Å³ per atom. As for the total magnetization: 0.000 μB/atom.